Material: Hf2BeAl
Method: DFT, GGA-PBE
State: optimized geometry

```
data_Hf2BeAl
_space_group_name_H-M_alt 'P 4/m m m'
_space_group_IT_number 123
_space_group_name_Hall '-P 4 2'
_cell_length_a 3.011
_cell_length_b 3.011
_cell_length_c 7.539
_cell_angle_alpha 90.00
_cell_angle_beta 90.00
_cell_angle_gamma 90.00
loop_
_atom_site_label
_atom_site_type_symbol
_atom_site_fract_x
_atom_site_fract_y
_atom_site_fract_z
Hf1 Hf 0.000 0.000 0.227
Be1 Be 0.500 0.500 0.000
Al1 Al 0.500 0.500 0.500
```

**Calculated density**: 9.5 g/cm³
**Excess energy over the best structure of this formula in the dataset**: 0 meV/atom
**D(E_F)**: 3.4 states/eV per cell